Model a:
Material: K2Tl2Zn
Method: DFT, PBE
State: relaxed

Results
The density of states at the Fermi level is 8.5 states/eV/cell.

Cell and atoms, written as CIF:
```
data_K2Tl2Zn
_chemical_formula_sum 'K4 Tl4 Zn2'
_space_group_name_H-M_alt 'I 4/m m m'
_space_group_IT_number 139
_space_group_name_Hall '-I 4 2'
_cell_length_a 4.4804
_cell_length_b 4.4804
_cell_length_c 20.3550
_cell_angle_alpha 90.00
_cell_angle_beta 90.00
_cell_angle_gamma 90.00
loop_
_atom_site_label
_atom_site_type_symbol
_atom_site_fract_x
_atom_site_fract_y
_atom_site_fract_z
_atom_site_occupancy
K1 K 0.0000 0.0000 0.0986 1
Tl1 Tl 0.0000 0.5000 0.2500 1
Zn1 Zn 0.0000 0.0000 0.5000 1
```

Model b:
Material: K2Tl2Zn
Method: DFT, PBE
State: relaxed

Results
The density of states at the Fermi level is 8.1 states/eV/cell.

Cell and atoms, written as CIF:
```
data_K2Tl2Zn
_chemical_formula_sum 'K4 Tl4 Zn2'
_space_group_name_H-M_alt 'P 4/m b m'
_space_group_IT_number 127
_space_group_name_Hall '-P 4 2ab'
_cell_length_a 10.8523
_cell_length_b 10.8523
_cell_length_c 3.3856
_cell_angle_alpha 90.00
_cell_angle_beta 90.00
_cell_angle_gamma 90.00
loop_
_atom_site_label
_atom_site_type_symbol
_atom_site_fract_x
_atom_site_fract_y
_atom_site_fract_z
_atom_site_occupancy
K1 K 0.1953 0.3047 0.0000 1
Tl1 Tl 0.1000 0.6000 0.5000 1
Zn1 Zn 0.0000 0.0000 0.0000 1
```

Model c:
Material: K2Tl2Zn
Method: DFT, PBE
State: relaxed

Results
The density of states at the Fermi level is 5.9 states/eV/cell.

Cell and atoms, written as CIF:
```
data_K2Tl2Zn
_chemical_formula_sum 'K4 Tl4 Zn2'
_space_group_name_H-M_alt 'P 4/m b m'
_space_group_IT_number 127
_space_group_name_Hall '-P 4 2ab'
_cell_length_a 7.7070
_cell_length_b 7.7070
_cell_length_c 5.9740
_cell_angle_alpha 90.00
_cell_angle_beta 90.00
_cell_angle_gamma 90.00
loop_
_atom_site_label
_atom_site_type_symbol
_atom_site_fract_x
_atom_site_fract_y
_atom_site_fract_z
_atom_site_occupancy
K1 K 0.1771 0.3229 0.0000 1
Tl1 Tl 0.1427 0.6427 0.5000 1
Zn1 Zn 0.0000 0.0000 0.5000 1
```

The most stable arrangement is model c, and the next structure is 6.5 kJ/mol of atoms less stable.

Model a:
Material: KTl3Zn
Method: DFT, PBE
State: relaxed

Results
The density of states at the Fermi level is 7.6 states/eV/cell.

Cell and atoms, written as CIF:
```
data_KTl3Zn
_chemical_formula_sum 'K1 Tl3 Zn1'
_space_group_name_H-M_alt 'P m -3 m'
_space_group_IT_number 221
_space_group_name_Hall '-P 4 2 3'
_cell_length_a 6.3526
_cell_length_b 6.3526
_cell_length_c 6.3526
_cell_angle_alpha 90.00
_cell_angle_beta 90.00
_cell_angle_gamma 90.00
loop_
_atom_site_label
_atom_site_type_symbol
_atom_site_fract_x
_atom_site_fract_y
_atom_site_fract_z
_atom_site_occupancy
K1 K 0.0000 0.0000 0.0000 1
Tl1 Tl 0.0000 0.0000 0.5000 1
Zn1 Zn 0.5000 0.5000 0.5000 1
```

Model b:
Material: KTl3Zn
Method: DFT, PBE
State: relaxed

Results
The density of states at the Fermi level is 3.6 states/eV/cell.

Cell and atoms, written as CIF:
```
data_KTl3Zn
_chemical_formula_sum 'K1 Tl3 Zn1'
_space_group_name_H-M_alt 'P m -3 m'
_space_group_IT_number 221
_space_group_name_Hall '-P 4 2 3'
_cell_length_a 5.5376
_cell_length_b 5.5376
_cell_length_c 5.5376
_cell_angle_alpha 90.00
_cell_angle_beta 90.00
_cell_angle_gamma 90.00
loop_
_atom_site_label
_atom_site_type_symbol
_atom_site_fract_x
_atom_site_fract_y
_atom_site_fract_z
_atom_site_occupancy
K1 K 0.0000 0.0000 0.0000 1
Tl1 Tl 0.0000 0.5000 0.5000 1
Zn1 Zn 0.5000 0.5000 0.5000 1
```

The most stable arrangement is model b, and the next structure is 66.4 kJ/mol of atoms less stable.

Model a:
Material: KY2V
Method: DFT, PBE
State: relaxed

Results
The density of states at the Fermi level is 24.7 states/eV/cell.

Cell and atoms, written as CIF:
```
data_KY2V
_chemical_formula_sum 'K4 Y8 V4'
_space_group_name_H-M_alt 'F m -3 m'
_space_group_IT_number 225
_space_group_name_Hall '-F 4 2 3'
_cell_length_a 7.8165
_cell_length_b 7.8165
_cell_length_c 7.8165
_cell_angle_alpha 90.00
_cell_angle_beta 90.00
_cell_angle_gamma 90.00
loop_
_atom_site_label
_atom_site_type_symbol
_atom_site_fract_x
_atom_site_fract_y
_atom_site_fract_z
_atom_site_occupancy
K1 K 0.0000 0.0000 0.0000 1
Y1 Y 0.2500 0.2500 0.2500 1
V1 V 0.0000 0.0000 0.5000 1
```

Model b:
Material: KY2V
Method: DFT, PBE
State: relaxed

Results
The density of states at the Fermi level is 16.5 states/eV/cell.

Cell and atoms, written as CIF:
```
data_KY2V
_chemical_formula_sum 'K4 Y8 V4'
_space_group_name_H-M_alt 'I -4 2 d'
_space_group_IT_number 122
_space_group_name_Hall 'I -4 2bw'
_cell_length_a 8.6555
_cell_length_b 8.6555
_cell_length_c 6.9715
_cell_angle_alpha 90.00
_cell_angle_beta 90.00
_cell_angle_gamma 90.00
loop_
_atom_site_label
_atom_site_type_symbol
_atom_site_fract_x
_atom_site_fract_y
_atom_site_fract_z
_atom_site_occupancy
K1 K 0.0000 0.0000 0.0000 1
Y1 Y 0.2054 0.2500 0.6250 1
V1 V 0.0000 0.0000 0.5000 1
```

The most stable arrangement is model a, and the next structure is 20.4 kJ/mol of atoms less stable.